Entry 1:
{
  "formula": "Li2Cd4Rh",
  "functional": "PBE",
  "state": "optimized geometry",
  "lattice_angstrom": [[-1.649, 2.266, -4.321], [-4.347, 1.391, 2.388], [0.008, 7.806, 1.021]],
  "species": ["Li", "Li", "Rh", "Cd", "Cd", "Cd", "Cd"],
  "fractional_positions": [[0.391, 0.391, 0.217], [0.609, 0.609, 0.783], [0.000, 0.000, 0.000], [0.190, 0.190, 0.621], [0.810, 0.810, 0.379], [0.000, 0.500, 0.000], [0.500, 0.000, 0.000]],
  "crystal_system": "tetragonal",
  "ef_ev_per_atom": 0.067
}


Entry 2:
{
  "formula": "TlSi2Pd7",
  "functional": "PBE",
  "state": "optimized geometry",
  "lattice_angstrom": [[-3.933, -0.802, -0.339], [0.864, -3.793, -1.046], [1.261, -0.417, 10.306]],
  "species": ["Tl", "Si", "Si", "Pd", "Pd", "Pd", "Pd", "Pd", "Pd", "Pd"],
  "fractional_positions": [[0.000, 0.000, 0.000], [0.676, 0.676, 0.351], [0.324, 0.324, 0.649], [0.108, 0.608, 0.215], [0.392, 0.892, 0.785], [0.608, 0.108, 0.215], [0.500, 0.500, 0.000], [0.750, 0.250, 0.500], [0.892, 0.392, 0.785], [0.250, 0.750, 0.500]],
  "crystal_system": "tetragonal",
  "raw_formation_energy_ev_per_atom": -0.511
}


no.,size of the total moment (μB/atom),Fermi-level density of states (states/eV/cell)
1,0.0000,3.34
2,0.0000,2.41